Version P
Entry from Alexandria via LeMat-Bulk: a geometry-optimized CaV3Se structure (PBE).

Results
**Crystal system**: cubic
**Space group**: No. 221
**Total magnetic moment**: 3.6 μB per formula unit

a b c (Å): 4.6582 4.6582 4.6582
angles (deg): 90.00 90.00 90.00
Closest atoms and distances in Å follow each position.
Atoms (fractional coordinates):
Ca1 0.5000 0.5000 0.5000  12 V 3.29
Se1 0.0000 0.0000 0.0000  6 V 2.33
V1 0.0000 0.5000 0.0000  2 Se 2.33
V2 0.0000 0.0000 0.5000  2 Se 2.33
V3 0.5000 0.0000 0.0000  2 Se 2.33


Version Q
Entry from Alexandria via LeMat-Bulk: a geometry-optimized CaV3Se structure (PBE).

Results
**Crystal system**: cubic
**Space group**: No. 221
**Total magnetic moment**: 0.0 μB per formula unit

a b c (Å): 4.5085 4.5085 4.5085
angles (deg): 90.00 90.00 90.00
Closest atoms and distances in Å follow each position.
Atoms (fractional coordinates):
Ca1 0.0000 0.0000 0.0000  6 V 2.25
Se1 0.5000 0.5000 0.5000  12 V 3.19
V1 0.0000 0.5000 0.0000  2 Ca 2.25
V2 0.0000 0.0000 0.5000  2 Ca 2.25
V3 0.5000 0.0000 0.0000  2 Ca 2.25


Which one is most stable, and which one is least stable? version P is the most stable of them, while version Q is the least stable.